(1)
## HgRu2Rh2 (PBE-GGA)

Data for crystalline HgRu2Rh2 at its relaxed geometry.

energy above the most stable polymorph in this dataset = 28.7 meV per atom
crystal system = tetragonal
energy of formation = 380 meV/atom

Cell: 7.5869 7.5869 2.7680 Å, 90.00 90.00 90.00°
Closest atoms and distances in Å follow each position.
Space group P4/mbm (No. 127)
One atom of each set of equivalent atoms:
Hg1 0.0000 0.0000 0.0000 [2 per cell]  2 Hg 2.77, 4 Rh 3.01
Ru1 0.1720 0.3280 0.5000 [4 per cell]  6 Rh 2.61-2.65, 2 Ru 2.77
Rh1 0.1220 0.6220 0.0000 [4 per cell]  6 Ru 2.61-2.65, 3 Rh 2.62-2.77


(2)
## Ho8AsSe6 (PBE-GGA)

Data for crystalline Ho8AsSe6 at its relaxed geometry.

crystal system = trigonal
raw formation energy = -1.296 eV/atom

Cell: 10.2966 10.2966 4.0701 Å, 90.00 90.00 120.00°
Closest atoms and distances in Å follow each position.
Space group P-3 (No. 147)
One atom of each set of equivalent atoms:
Ho1 0.0304 0.3067 0.2408 [6 per cell]  3 Se 2.77-2.85
Ho2 0.3333 0.6667 0.7535 [2 per cell]  6 Se 2.87
As1 0.0000 0.0000 0.0000 [1 per cell]  6 Ho 3.17
Se1 0.1289 0.6498 0.2531 [6 per cell]  5 Ho 2.77-2.87


Across the entries above, energy takes the values -63.3 -81.6 eV/cell, respectively.